Entry 1:
Density functional theory data (GGA-PBE) for CuAgIr2 after structural relaxation.

- energy above the lowest structure with this stoichiometry (meV per atom) = 306.2

Cell: 6.202 6.202 6.202 Å, 90.00 90.00 90.00°
Space group F-43m (No. 216)
Symmetry-distinct sites (fractional):
Cu (0.000, 0.000, 0.000)
Ag (0.250, 0.250, 0.750)
Ir (0.000, 0.000, 0.500)
Ir (0.250, 0.250, 0.250)

Entry 2:
Density functional theory data (GGA-PBE) for CuAgIr2 after structural relaxation.

- energy above the lowest structure with this stoichiometry (meV per atom) = 646.6

Cell: 7.367 7.367 4.863 Å, 90.00 90.00 90.00°
Space group I-42d (No. 122)
Symmetry-distinct sites (fractional):
Cu (0.000, 0.000, 0.000)
Ag (0.000, 0.000, 0.500)
Ir (0.201, 0.250, 0.125)

Entry 3:
Density functional theory data (GGA-PBE) for CuAgIr2 after structural relaxation.

- energy above the lowest structure with this stoichiometry (meV per atom) = 158.8

Cell: 2.734 4.740 9.321 Å, 90.00 90.00 90.00°
Space group Cmm2 (No. 35)
Symmetry-distinct sites (fractional):
Cu (0.000, 0.000, 0.000)
Ag (0.000, 0.500, 0.752)
Ir (0.000, 0.000, 0.480)
Ir (0.000, 0.500, 0.237)

Entry 4:
Density functional theory data (GGA-PBE) for Cu2AgIr after structural relaxation.

- energy above the lowest structure with this stoichiometry (meV per atom) = 50.4

Cell: 9.617 2.700 4.598 Å, 90.00 109.71 90.00°
Space group Cm (No. 8)
Symmetry-distinct sites (fractional):
Cu (0.000, 0.000, 0.000)
Cu (0.229, 0.500, 0.342)
Ag (0.483, 0.000, 0.492)
Ir (0.252, 0.000, 0.862)

Entry 5:
Density functional theory data (GGA-PBE) for CuAgIr2 after structural relaxation.

- energy above the lowest structure with this stoichiometry (meV per atom) = 86.7

Cell: 9.676 2.737 4.635 Å, 90.00 105.53 90.00°
Space group C2/m (No. 12)
Symmetry-distinct sites (fractional):
Cu (0.000, 0.000, 0.000)
Ag (0.000, 0.500, 0.500)
Ir (0.231, 0.500, 0.233)

Entry 6:
Density functional theory data (GGA-PBE) for Cu2AgIr after structural relaxation.

- energy above the lowest structure with this stoichiometry (meV per atom) = 80.0

Cell: 2.732 2.732 7.560 Å, 90.00 90.00 90.00°
Space group P4mm (No. 99)
Symmetry-distinct sites (fractional):
Cu (0.000, 0.000, 0.000)
Cu (0.500, 0.500, 0.217)
Ag (0.500, 0.500, 0.739)
Ir (0.000, 0.000, 0.452)

Entry 7:
Density functional theory data (GGA-PBE) for CuAgIr2 after structural relaxation.

- energy above the lowest structure with this stoichiometry (meV per atom) = 0.0

Cell: 2.759 2.759 7.792 Å, 90.00 90.00 90.00°
Space group P4mm (No. 99)
Symmetry-distinct sites (fractional):
Cu (0.000, 0.000, 0.000)
Ag (0.500, 0.500, 0.747)
Ir (0.000, 0.000, 0.465)
Ir (0.500, 0.500, 0.236)

Entry 8:
Density functional theory data (GGA-PBE) for CuAgIr2 after structural relaxation.

- energy above the lowest structure with this stoichiometry (meV per atom) = 71.5

Cell: 2.769 3.830 5.667 Å, 90.00 90.16 90.00°
Space group Pm (No. 6)
Symmetry-distinct sites (fractional):
Cu (0.000, 0.000, 0.000)
Ag (0.499, 0.500, 0.768)
Ir (0.498, 0.500, 0.268)
Ir (0.999, 0.000, 0.461)

Entry 9:
Density functional theory data (GGA-PBE) for Cu2AgIr after structural relaxation.

- energy above the lowest structure with this stoichiometry (meV per atom) = 70.5

Cell: 2.639 4.265 5.196 Å, 90.00 104.57 90.00°
Space group Pm (No. 6)
Symmetry-distinct sites (fractional):
Cu (0.000, 0.000, 0.000)
Cu (0.138, 0.500, 0.271)
Ag (0.394, 0.500, 0.784)
Ir (0.733, 0.000, 0.462)

Entry 10:
Density functional theory data (GGA-PBE) for Cu2AgIr2 after structural relaxation.

- energy above the lowest structure with this stoichiometry (meV per atom) = 0.0

Cell: 7.443 7.443 2.701 Å, 90.00 90.00 90.00°
Space group P4/mbm (No. 127)
Symmetry-distinct sites (fractional):
Cu (0.173, 0.327, 0.000)
Ag (0.000, 0.000, 0.500)
Ir (0.125, 0.625, 0.500)

Entry 11:
Density functional theory data (GGA-PBE) for Cu2AgIr after structural relaxation.

- energy above the lowest structure with this stoichiometry (meV per atom) = 507.4

Cell: 3.788 3.788 17.632 Å, 90.00 90.00 90.00°
Space group I-42d (No. 122)
Symmetry-distinct sites (fractional):
Cu (0.229, 0.250, 0.125)
Ag (0.000, 0.000, 0.500)
Ir (0.000, 0.000, 0.000)

Entry 12:
Density functional theory data (GGA-PBE) for CuAgIr2 after structural relaxation.

- energy above the lowest structure with this stoichiometry (meV per atom) = 475.5

Cell: 6.185 6.185 6.185 Å, 90.00 90.00 90.00°
Space group Fm-3m (No. 225)
Symmetry-distinct sites (fractional):
Cu (0.000, 0.000, 0.000)
Ag (0.000, 0.000, 0.500)
Ir (0.250, 0.250, 0.250)

Entry 13:
Density functional theory data (GGA-PBE) for Cu2AgIr after structural relaxation.

- energy above the lowest structure with this stoichiometry (meV per atom) = 128.1

Cell: 6.079 6.079 6.079 Å, 90.00 90.00 90.00°
Space group Fm-3m (No. 225)
Symmetry-distinct sites (fractional):
Cu (0.250, 0.250, 0.250)
Ag (0.000, 0.000, 0.000)
Ir (0.000, 0.000, 0.500)

Entry 14:
Density functional theory data (GGA-PBE) for CuAgIr2 after structural relaxation.

- energy above the lowest structure with this stoichiometry (meV per atom) = 176.8

Cell: 2.700 4.709 4.717 Å, 90.00 90.76 90.00°
Space group P2/m (No. 10)
Symmetry-distinct sites (fractional):
Cu (0.000, 0.000, 0.000)
Ag (0.500, 0.000, 0.500)
Ir (0.242, 0.500, 0.761)

Entry 15:
Density functional theory data (GGA-PBE) for CuAgIr2 after structural relaxation.

- energy above the lowest structure with this stoichiometry (meV per atom) = 316.9

Cell: 3.782 3.782 4.163 Å, 90.00 90.00 90.00°
Space group P4/mmm (No. 123)
Symmetry-distinct sites (fractional):
Cu (0.000, 0.000, 0.000)
Ag (0.500, 0.500, 0.000)
Ir (0.000, 0.500, 0.500)

Entry 16:
Density functional theory data (GGA-PBE) for Cu2AgIr after structural relaxation.

- energy above the lowest structure with this stoichiometry (meV per atom) = 78.3

Cell: 2.807 4.540 9.029 Å, 90.00 90.00 90.00°
Space group Cmm2 (No. 35)
Symmetry-distinct sites (fractional):
Cu (0.000, 0.000, 0.000)
Cu (0.000, 0.500, 0.226)
Ag (0.000, 0.000, 0.481)
Ir (0.000, 0.500, 0.760)

Entry 17:
Density functional theory data (GGA-PBE) for Cu2AgIr after structural relaxation.

- energy above the lowest structure with this stoichiometry (meV per atom) = 14.7

Cell: 5.772 7.038 2.753 Å, 90.00 90.00 90.00°
Space group Cmmm (No. 65)
Symmetry-distinct sites (fractional):
Cu (0.250, 0.250, 0.000)
Ag (0.000, 0.000, 0.500)
Ir (0.000, 0.500, 0.500)

Entry 18:
Density functional theory data (GGA-PBE) for Cu2AgIr after structural relaxation.

- energy above the lowest structure with this stoichiometry (meV per atom) = 168.5

Cell: 3.777 3.777 7.954 Å, 90.00 90.00 90.00°
Space group I-4m2 (No. 119)
Symmetry-distinct sites (fractional):
Cu (0.000, 0.000, 0.000)
Cu (0.000, 0.500, 0.250)
Ag (0.000, 0.000, 0.500)
Ir (0.000, 0.500, 0.750)

Entry 19:
Density functional theory data (GGA-PBE) for Cu4AgIr after structural relaxation.

Cell: 6.829 6.829 6.829 Å, 90.00 90.00 90.00°
Space group F-43m (No. 216)
Symmetry-distinct sites (fractional):
Cu (0.125, 0.125, 0.125)
Ag (0.250, 0.250, 0.750)
Ir (0.000, 0.000, 0.500)

Entry 20:
Density functional theory data (GGA-PBE) for CuAgIr3 after structural relaxation.

- energy above the lowest structure with this stoichiometry (meV per atom) = 0.0

Cell: 4.497 4.497 4.497 Å, 90.00 90.00 90.00°
Space group Pm-3m (No. 221)
Symmetry-distinct sites (fractional):
Cu (0.000, 0.000, 0.000)
Ag (0.500, 0.500, 0.500)
Ir (0.000, 0.000, 0.500)

Computed energy of formation (kJ/mol of atoms) in order:
44.2 77.1 30.0 19.4 23.1 22.3 14.7 21.6 21.4 36.0 63.5 60.6 26.9 31.7 45.3 22.1 16.0 30.8 18.4 158.5
Computed E (eV/atom) in order:
-5.709 -5.369 -5.856 -4.775 -5.928 -4.745 -6.015 -5.944 -4.755 -5.380 -4.318 -5.540 -4.697 -5.838 -5.698 -4.747 -4.810 -4.657 -4.492 -5.063